[1]
! CaYGe2 (PBE-GGA, relaxed); values from VASP
&SYSTEM
  ibrav = 0, nat = 8, ntyp = 3
/
ATOMIC_SPECIES
Ca 40.08 Ca.upf
Y 88.91 Y.upf
Ge 72.64 Ge.upf
CELL_PARAMETERS angstrom
-3.9325 3.9325 3.3170
3.9325 -3.9325 3.3170
3.9325 3.9325 -3.3170
ATOMIC_POSITIONS crystal
Ca 0.0000 0.0000 0.0000
Ca 0.7500 0.2500 0.5000
Y 0.2500 0.7500 0.5000
Y 0.5000 0.5000 0.0000
Ge 0.1274 0.6250 0.0024
Ge 0.3750 0.3774 0.5024
Ge 0.6226 0.1250 0.9976
Ge 0.8750 0.8726 0.4976
! N(E_F)	5.82	states/eV/cell
! total magnetic moment	0.000	μB per atom
! DFT total energy	-4.7248	eV/atom
! energy of formation	-0.300	eV/atom



[2]
! Ca2YGe2 (PBE-GGA, relaxed); values from VASP
&SYSTEM
  ibrav = 0, nat = 5, ntyp = 3
/
ATOMIC_SPECIES
Ca 40.08 Ca.upf
Y 88.91 Y.upf
Ge 72.64 Ge.upf
CELL_PARAMETERS angstrom
-2.6758 2.6758 5.0596
2.6758 -2.6758 5.0596
2.6758 2.6758 -5.0596
ATOMIC_POSITIONS crystal
Ca 0.1580 0.1580 0.0000
Ca 0.8420 0.8420 0.0000
Y 0.5000 0.5000 0.0000
Ge 0.2500 0.7500 0.5000
Ge 0.7500 0.2500 0.5000
! N(E_F)	4.20	states/eV/cell
! total magnetic moment	0.000	μB per atom
! DFT total energy	-3.9972	eV/atom
! energy of formation	-0.057	eV/atom



[3]
! Ca2YGe2 (PBE-GGA, relaxed); values from VASP
&SYSTEM
  ibrav = 0, nat = 5, ntyp = 3
/
ATOMIC_SPECIES
Ca 40.08 Ca.upf
Y 88.91 Y.upf
Ge 72.64 Ge.upf
CELL_PARAMETERS angstrom
-2.2427 2.2427 6.4328
2.2427 -2.2427 6.4328
2.2427 2.2427 -6.4328
ATOMIC_POSITIONS crystal
Ca 0.2500 0.7500 0.5000
Ca 0.7500 0.2500 0.5000
Y 0.0000 0.0000 0.0000
Ge 0.4051 0.4051 0.0000
Ge 0.5949 0.5949 0.0000
! N(E_F)	4.07	states/eV/cell
! total magnetic moment	0.000	μB per atom
! DFT total energy	-4.3782	eV/atom
! energy of formation	-0.438	eV/atom



[4]
! CaY3Ge (PBE-GGA, relaxed); values from VASP
&SYSTEM
  ibrav = 0, nat = 5, ntyp = 3
/
ATOMIC_SPECIES
Ca 40.08 Ca.upf
Y 88.91 Y.upf
Ge 72.64 Ge.upf
CELL_PARAMETERS angstrom
5.4633 0.0000 0.0000
0.0000 5.4633 0.0000
0.0000 0.0000 5.4633
ATOMIC_POSITIONS crystal
Ca 0.0000 0.0000 0.0000
Y 0.0000 0.0000 0.5000
Y 0.0000 0.5000 0.0000
Y 0.5000 0.0000 0.0000
Ge 0.5000 0.5000 0.5000
! N(E_F)	5.71	states/eV/cell
! total magnetic moment	0.000	μB per atom
! DFT total energy	-4.1351	eV/atom
! energy of formation	1.067	eV/atom



[5]
! CaYGe2 (PBE-GGA, relaxed); values from VASP
&SYSTEM
  ibrav = 0, nat = 4, ntyp = 3
/
ATOMIC_SPECIES
Ca 40.08 Ca.upf
Y 88.91 Y.upf
Ge 72.64 Ge.upf
CELL_PARAMETERS angstrom
5.2487 0.0000 0.0000
0.0000 5.2487 0.0000
0.0000 0.0000 3.4340
ATOMIC_POSITIONS crystal
Ca 0.0000 0.0000 0.0000
Y 0.5000 0.5000 0.0000
Ge 0.0000 0.5000 0.5000
Ge 0.5000 0.0000 0.5000
! N(E_F)	2.00	states/eV/cell
! total magnetic moment	0.000	μB per atom
! DFT total energy	-4.9777	eV/atom
! energy of formation	-0.553	eV/atom



[6]
! CaY3Ge (PBE-GGA, relaxed); values from VASP
&SYSTEM
  ibrav = 0, nat = 5, ntyp = 3
/
ATOMIC_SPECIES
Ca 40.08 Ca.upf
Y 88.91 Y.upf
Ge 72.64 Ge.upf
CELL_PARAMETERS angstrom
5.5951 0.0000 0.0000
0.0000 5.5951 0.0000
0.0000 0.0000 5.5951
ATOMIC_POSITIONS crystal
Ca 0.0000 0.0000 0.0000
Y 0.0000 0.5000 0.5000
Y 0.5000 0.0000 0.5000
Y 0.5000 0.5000 0.0000
Ge 0.5000 0.5000 0.5000
! N(E_F)	9.43	states/eV/cell
! total magnetic moment	0.132	μB per atom
! DFT total energy	-5.3595	eV/atom
! energy of formation	-0.157	eV/atom